First-principles (PBE-GGA) data for a relaxed Pr2AsPRh6 crystal, as listed in the Alexandria database.

Calculated values
D(E_F), states/eV per atom: 0.465
Formation energy, eV/atom: -0.692

Cell lengths 5.8430, 8.7076, 7.3938 Å; angles 90.00, 90.00, 90.00 degrees
Last column: nearest neighbours and their distance in Å.
Space group Pmmn (No. 59, origin choice 2)
Symmetry-distinct sites (fractional):
Pr  0.2500  0.0235  0.2263  11 Rh 3.00-3.35
As  0.2500  0.7500  0.7799  6 Rh 2.43-2.56
P  0.2500  0.2500  0.7317  6 Rh 2.23-2.31
Rh  0.0156  0.7500  0.0524  1 P 2.23, 1 As 2.44
Rh  0.0180  0.7500  0.4860  1 P 2.25
Rh  0.2500  0.5010  0.6304  1 P 2.31, 1 As 2.43